Record 1
Ce2YCo2 | GGA-PBE | relaxed

Results
For the energy above the most stable polymorph in this dataset, the calculation gives 0.0 meV/atom. The calculation puts the mass density at 7.45 g/cm3. Its formation energy is -0.16 eV per atom. The calculation puts the size of the total moment at 0.0 Bohr magnetons per cell. As for the final energy: -6.668 eV/atom.

a b c (Å): 3.6693 7.8411 8.2480
angles (deg): 101.30 77.15 76.47
Last column: nearest neighbours and their distance in Å.
Positions (direct):
Ce1 0.0273 0.6101 0.3352  4 Co 2.57-2.83
Ce2 0.1543 0.7558 0.9356  2 Co 2.48
Ce3 0.9727 0.3899 0.6648  4 Co 2.57-2.83
Ce4 0.8457 0.2442 0.0644  2 Co 2.48
Y1 0.6614 0.9918 0.6853  3 Co 2.96-3.09
Y2 0.3386 0.0082 0.3147  3 Co 2.96-3.09
Co1 0.3772 0.6789 0.5666  3 Ce 2.57-2.87, 1 Co 2.66
Co2 0.3457 0.3783 0.9303  2 Ce 2.48, 2 Co 2.64
Co3 0.6228 0.3211 0.4334  3 Ce 2.57-2.87, 1 Co 2.66
Co4 0.6543 0.6217 0.0697  2 Ce 2.48, 2 Co 2.64

***

Record 2
CeY2Co | GGA-PBE | relaxed

Results
For the energy above the most stable polymorph in this dataset, the calculation gives 0.0 meV/atom. The calculation puts the mass density at 6.04 g/cm3. Its formation energy is -0.17 eV per atom. The calculation puts the size of the total moment at 1.5 Bohr magnetons per cell. As for the final energy: -6.667 eV/atom.

a b c (Å): 6.3278 6.8241 9.5932
angles (deg): 90.00 90.00 90.00
Last column: nearest neighbours and their distance in Å.
Positions (direct):
Ce1 0.6517 0.5622 0.2500  1 Co 2.29
Ce2 0.8483 0.0622 0.2500  1 Co 2.29
Ce3 0.3483 0.4378 0.7500  1 Co 2.29
Ce4 0.1517 0.9378 0.7500  1 Co 2.29
Y1 0.1758 0.6665 0.0675  2 Co 2.91-2.96
Y2 0.3242 0.1665 0.4325  2 Co 2.91-2.96
Y3 0.8242 0.3335 0.5675  2 Co 2.91-2.96
Y4 0.6758 0.8335 0.9325  2 Co 2.91-2.96
Y5 0.8242 0.3335 0.9325  2 Co 2.91-2.96
Y6 0.6758 0.8335 0.5675  2 Co 2.91-2.96
Y7 0.1758 0.6665 0.4325  2 Co 2.91-2.96
Y8 0.3242 0.1665 0.0675  2 Co 2.91-2.96
Co1 0.0102 0.3615 0.2500  1 Ce 2.29
Co2 0.4898 0.8615 0.2500  1 Ce 2.29
Co3 0.9898 0.6385 0.7500  1 Ce 2.29
Co4 0.5102 0.1385 0.7500  1 Ce 2.29

***

Record 3
CeYCo4 | GGA-PBE | relaxed

Results
The calculation puts the mass density at 8.63 g/cm3. Its formation energy is -0.18 eV per atom. The calculation puts the size of the total moment at 0.0 Bohr magnetons per cell. As for the final energy: -6.983 eV/atom.

a b c (Å): 5.0193 5.0193 5.0193
angles (deg): 90.00 60.00 120.00
Last column: nearest neighbours and their distance in Å.
Positions (direct):
Ce1 0.5000 0.7500 0.7500  12 Co 2.94, 4 Y 3.07
Y1 0.0000 0.0000 0.0000  12 Co 2.94, 4 Ce 3.07
Co1 0.7497 0.3748 0.8755  6 Co 2.51
Co2 0.2503 0.3748 0.3748  6 Co 2.51
Co3 0.2503 0.8755 0.3748  6 Co 2.51
Co4 0.7497 0.3748 0.3748  6 Co 2.51

***

What did the third record say?
CeYCo4 | GGA-PBE | relaxed

Results
The calculation puts the mass density at 8.63 g/cm3. Its formation energy is -0.18 eV per atom. The calculation puts the size of the total moment at 0.0 Bohr magnetons per cell. As for the final energy: -6.983 eV/atom.

a b c (Å): 5.0193 5.0193 5.0193
angles (deg): 90.00 60.00 120.00
Last column: nearest neighbours and their distance in Å.
Positions (direct):
Ce1 0.5000 0.7500 0.7500  12 Co 2.94, 4 Y 3.07
Y1 0.0000 0.0000 0.0000  12 Co 2.94, 4 Ce 3.07
Co1 0.7497 0.3748 0.8755  6 Co 2.51
Co2 0.2503 0.3748 0.3748  6 Co 2.51
Co3 0.2503 0.8755 0.3748  6 Co 2.51
Co4 0.7497 0.3748 0.3748  6 Co 2.51